PBE-GGA YErNi4, optimized geometry; offset from the most stable computed form = 400 meV/atom; energy relative to the elements = -0.052 eV per atom; calculated density = 8.19 g/cm³
1.0
2.902 4.380 -1.111
-4.788 0.485 2.384
3.504 -0.511 7.142
Er Ni Y
2 8 2
Cartesian
1.620 3.731 -0.528 Er
-3.506 1.134 1.801 Er
2.398 2.052 1.374 Ni
-1.447 0.105 3.121 Ni
0.947 -0.138 1.929 Ni
3.372 3.476 3.043 Ni
-1.754 0.879 5.372 Ni
2.557 -0.373 5.212 Ni
4.008 1.817 4.657 Ni
0.164 -0.130 6.404 Ni
-0.943 2.433 0.637 Y
0.809 2.177 4.207 Y



PBE-GGA LiGaCoW, optimized geometry; offset from the most stable computed form = 0 meV/atom; calculated density = 10.52 g/cm³
1.0
-1.188 1.652 3.614
-2.962 2.901 0.080
-3.737 -0.895 1.561
Co Ga Li W
1 1 1 1
Cartesian
-5.915 2.744 3.940 Co
0.000 0.000 0.000 Ga
-1.972 0.915 1.313 Li
-3.943 1.829 2.627 W



PBE-GGA Y2Tm2BI5, optimized geometry; calculated density = 5.86 g/cm³; electronic total energy = -0.3454 Ry/atom
1.0
-0.451 -1.407 -9.778
-3.609 -3.566 -8.488
-4.554 7.255 0.992
B I Tm Y
1 5 2 2
Cartesian
-2.030 -2.486 -9.133 B
-4.150 -2.900 -15.016 I
-2.189 1.608 -2.670 I
-4.307 1.141 -8.637 I
-6.426 0.675 -14.605 I
-4.465 5.182 -2.259 I
-2.849 -2.664 -11.436 Tm
-5.766 4.947 -5.839 Tm
-4.949 -3.552 -18.065 Y
-3.665 5.834 0.790 Y



PBE-GGA BaNiHgS3, optimized geometry; offset from the most stable computed form = 0 meV/atom; calculated density = 5.88 g/cm³
1.0
-4.340 0.414 4.998
1.457 -3.260 -5.588
5.834 -7.081 5.652
Ba Hg Ni S
2 2 2 6
Cartesian
1.413 -4.078 -1.432 Ba
1.538 -5.849 6.493 Ba
0.000 0.000 0.000 Hg
2.917 -3.541 2.826 Hg
-0.215 -3.046 1.542 Ni
3.166 -6.881 3.520 Ni
-1.819 -1.424 1.548 S
-2.635 -1.512 5.961 S
0.272 -3.962 3.574 S
2.679 -5.966 1.488 S
5.586 -8.415 -0.900 S
4.769 -8.504 3.513 S



PBE-GGA LaAlNi, optimized geometry; calculated density = 5.35 g/cm³; electronic total energy = -0.3357 Ry/atom
1.0
-2.497 -2.890 2.598
0.573 -0.066 4.583
-3.309 1.654 2.766
Al La Ni
1 1 1
Cartesian
0.000 0.000 0.000 Al
-1.308 -0.326 2.487 La
-3.925 -0.977 7.460 Ni



PBE-GGA LiGaSiAu, optimized geometry; offset from the most stable computed form = 43 meV/atom; calculated density = 7.77 g/cm³
1.0
-4.191 1.354 0.929
-2.917 0.748 -3.346
-3.464 -2.803 -0.635
Au Ga Li Si
1 1 1 1
Cartesian
-2.643 -0.175 -0.763 Au
0.000 0.000 0.000 Ga
-7.929 -0.526 -2.289 Li
-5.286 -0.350 -1.526 Si



PBE-GGA DyHoCS, optimized geometry; calculated density = 8.11 g/cm³; electronic total energy = -0.5069 Ry/atom
1.0
-0.087 0.081 3.693
1.721 -2.764 -1.748
10.957 6.751 0.111
C Dy Ho S
2 2 2 2
Cartesian
0.000 0.000 0.000 C
5.479 3.376 0.056 C
1.661 -0.161 1.891 Dy
10.929 4.229 0.166 Dy
4.858 1.808 1.924 Ho
7.733 2.260 0.133 Ho
3.866 -0.123 0.094 S
8.725 4.191 1.963 S



PBE-GGA LaNdSb2Os2O2, optimized geometry; calculated density = 9.90 g/cm³; electronic total energy = -0.5700 Ry/atom
1.0
4.253 0.000 0.000
0.000 4.253 0.000
0.000 0.000 8.708
La Nd O Os Sb
1 1 2 2 2
Cartesian
0.000 0.000 1.092 La
2.126 2.126 7.577 Nd
2.126 0.000 8.679 O
0.000 2.126 8.679 O
2.126 0.000 4.380 Os
0.000 2.126 4.380 Os
2.126 2.126 2.860 Sb
0.000 0.000 5.892 Sb



PBE-GGA Li3Ni2H, optimized geometry; calculated density = 4.00 g/cm³; electronic total energy = -0.2575 Ry/atom
1.0
-0.996 2.137 -0.856
-1.166 -1.292 1.806
5.366 5.450 7.362
H Li Ni
1 3 2
Cartesian
0.000 0.000 0.000 H
-0.524 0.445 1.722 Li
2.683 2.725 3.681 Li
3.729 5.850 6.591 Li
0.587 2.659 2.281 Ni
2.617 3.636 6.031 Ni



PBE-GGA Nb4Cu3Mo2N3, optimized geometry; calculated density = 8.28 g/cm³; electronic total energy = -0.6145 Ry/atom
1.0
4.604 -2.617 0.000
4.604 2.617 0.000
-3.129 0.000 13.259
Cu Mo N Nb
6 4 6 8
Cartesian
5.990 -0.766 3.313 Cu
3.822 -2.260 3.315 Cu
1.654 -0.766 3.316 Cu
4.425 0.766 9.942 Cu
2.257 2.260 9.944 Cu
0.089 0.766 9.945 Cu
3.869 0.414 1.589 Mo
3.775 0.414 5.040 Mo
2.304 -0.414 8.218 Mo
2.210 -0.414 11.670 Mo
2.302 1.308 0.000 N
5.269 1.123 0.010 N
2.375 1.123 6.619 N
0.737 -1.308 6.629 N
3.704 -1.123 6.639 N
0.810 -1.123 13.248 N
0.750 0.458 1.112 Nb
6.894 0.448 1.119 Nb
0.750 0.448 5.510 Nb
6.893 0.458 5.517 Nb
-0.814 -0.458 7.742 Nb
5.329 -0.448 7.748 Nb
-0.815 -0.448 12.140 Nb
5.329 -0.458 12.146 Nb



PBE-GGA LiYZrNi, optimized geometry; offset from the most stable computed form = 201 meV/atom; calculated density = 5.66 g/cm³
1.0
4.296 1.134 1.442
0.794 0.862 4.522
2.480 -3.024 2.554
Li Ni Y Zr
1 1 1 1
Cartesian
5.677 -0.771 6.389 Li
0.000 0.000 0.000 Ni
3.785 -0.514 4.259 Y
1.893 -0.257 2.130 Zr



PBE-GGA HfCoNiAs, optimized geometry; offset from the most stable computed form = 124 meV/atom; calculated density = 10.82 g/cm³
1.0
0.000 3.054 3.054
3.054 0.000 3.054
3.054 3.054 0.000
As Co Hf Ni
1 1 1 1
Cartesian
0.000 0.000 0.000 As
4.580 4.580 4.580 Co
1.527 1.527 1.527 Hf
3.054 3.054 3.054 Ni